1.
Here is crystalline HfTi2Sn2 at its relaxed geometry from Alexandria. Energies are from GGA-PBE.

Cell: 7.5422 7.5422 3.5695 Å, 90.00 90.00 90.00°
Last column: nearest neighbours and their distance in Å.
Space group P4/mbm (No. 127)
Asymmetric unit:
1 Hf 0.0000 0.0000 0.0000 x2  4 Sn 2.93
2 Ti 0.1649 0.3351 0.5000 x4  6 Sn 2.77-2.90
3 Sn 0.1364 0.6364 0.0000 x4  6 Ti 2.77-2.90, 1 Sn 2.91, 2 Hf 2.93

Calculated values
As for the formation energy: -26 kJ/mol of atoms. As for the offset from the most stable computed form: 20 meV per atom.

---

2.
Here is crystalline HfTi3Sn at its relaxed geometry from Alexandria. Energies are from GGA-PBE.

Cell: 4.8441 4.8441 4.8441 Å, 90.00 90.00 90.00°
Last column: nearest neighbours and their distance in Å.
Space group Pm-3m (No. 221)
Asymmetric unit:
1 Hf 0.0000 0.0000 0.0000 x1  6 Ti 2.42
2 Ti 0.0000 0.0000 0.5000 x3  2 Hf 2.42
3 Sn 0.5000 0.5000 0.5000 x1  12 Ti 3.43

Calculated values
As for the formation energy: 94 kJ/mol of atoms. As for the offset from the most stable computed form: 984 meV per atom.

---

3.
Here is crystalline Hf3Ti4Sn2 at its relaxed geometry from Alexandria. Energies are from GGA-PBE.

Cell: 10.0282 4.0675 9.4186 Å, 90.00 111.99 90.00°
Last column: nearest neighbours and their distance in Å.
Space group C2/m (No. 12)
Asymmetric unit:
1 Hf 0.0000 0.0000 0.0000 x2  4 Sn 2.95, 8 Ti 3.02-3.08
2 Hf 0.1592 0.5000 0.5480 x4  3 Hf 2.97-3.08, 6 Ti 3.00-3.25, 3 Sn 3.00-3.11
3 Ti 0.0091 0.0000 0.6835 x4  2 Ti 2.87, 5 Hf 3.00-3.08, 3 Sn 3.01-3.05
4 Ti 0.1693 0.5000 0.8925 x4  4 Ti 2.87-2.90, 4 Sn 3.04-3.15, 4 Hf 3.05-3.21
5 Sn 0.1690 0.5000 0.2218 x4  5 Hf 2.95-3.11, 7 Ti 3.01-3.15

Calculated values
As for the formation energy: -19 kJ/mol of atoms.

---

4.
Here is crystalline Hf2TiSn at its relaxed geometry from Alexandria. Energies are from GGA-PBE.

Cell: 4.3369 4.3369 4.3594 Å, 90.00 90.00 90.00°
Last column: nearest neighbours and their distance in Å.
Space group P4/mmm (No. 123)
Asymmetric unit:
1 Hf 0.0000 0.5000 0.0000 x2  4 Hf 3.07, 4 Sn 3.07, 4 Ti 3.07
2 Ti 0.0000 0.0000 0.5000 x1  4 Sn 3.07, 8 Hf 3.07
3 Sn 0.5000 0.5000 0.5000 x1  4 Ti 3.07, 8 Hf 3.07

Calculated values
As for the formation energy: -23 kJ/mol of atoms.

---

5.
Here is crystalline HfTi4Sn at its relaxed geometry from Alexandria. Energies are from GGA-PBE.

Cell: 7.6693 7.6693 7.6693 Å, 90.00 90.00 90.00°
Last column: nearest neighbours and their distance in Å.
Space group F-43m (No. 216)
Asymmetric unit:
1 Hf 0.0000 0.0000 0.0000 x4  12 Ti 3.17, 4 Sn 3.32
2 Ti 0.1281 0.1281 0.6281 x16  6 Ti 2.64-2.78
3 Sn 0.2500 0.2500 0.2500 x4  12 Ti 3.19, 4 Hf 3.32

Calculated values
As for the formation energy: 2 kJ/mol of atoms. As for the offset from the most stable computed form: 157 meV per atom.

---

6.
Here is crystalline HfTi5Sn3 at its relaxed geometry from Alexandria. Energies are from GGA-PBE.

Cell: 7.3089 7.3089 13.6280 Å, 90.00 90.00 90.00°
Last column: nearest neighbours and their distance in Å.
Space group I4/mcm (No. 140)
Asymmetric unit:
1 Hf 0.0000 0.5000 0.2500 x4  4 Ti 2.62
2 Ti 0.0000 0.0000 0.0000 x4  4 Sn 2.89
3 Ti 0.2104 0.2896 0.1426 x16  1 Sn 2.58, 1 Hf 2.62
4 Sn 0.0000 0.0000 0.2500 x4  8 Ti 3.00
5 Sn 0.1255 0.3745 0.5000 x8  4 Ti 2.58-2.89, 1 Sn 2.60

Calculated values
As for the formation energy: 15 kJ/mol of atoms. As for the offset from the most stable computed form: 478 meV per atom.

---

7.
Here is crystalline Hf2Ti2Sn at its relaxed geometry from Alexandria. Energies are from GGA-PBE.

Cell: 7.1753 7.1753 3.9506 Å, 90.00 90.00 90.00°
Last column: nearest neighbours and their distance in Å.
Space group P4/mbm (No. 127)
Asymmetric unit:
1 Hf 0.1650 0.3350 0.0000 x4  6 Ti 2.86-2.91
2 Ti 0.1311 0.6311 0.5000 x4  1 Ti 2.66, 2 Sn 2.81, 6 Hf 2.86-2.91
3 Sn 0.0000 0.0000 0.5000 x2  4 Ti 2.81

Calculated values
As for the formation energy: -10 kJ/mol of atoms. As for the offset from the most stable computed form: 0 meV per atom.

---

8.
Here is crystalline Hf6TiSn3 at its relaxed geometry from Alexandria. Energies are from GGA-PBE.

Cell: 10.7110 11.1180 7.4459 Å, 90.00 90.00 90.00°
Last column: nearest neighbours and their distance in Å.
Space group Cmc2_1 (No. 36)
Asymmetric unit:
1 Hf 0.0000 0.1560 0.0000 x4  1 Ti 2.77, 5 Sn 2.88-2.99
2 Hf 0.0000 0.1914 0.4638 x4  1 Ti 2.83, 3 Sn 3.03-3.17, 2 Hf 3.13
3 Hf 0.1548 0.4591 0.4769 x8  2 Ti 2.87-2.99, 4 Sn 2.90-2.96, 2 Hf 3.10-3.20
4 Hf 0.2415 0.2448 0.2413 x8  1 Ti 2.96, 3 Sn 2.99-3.06, 4 Hf 3.10-3.30
5 Ti 0.0000 0.3697 0.1918 x4  8 Hf 2.77-2.99, 2 Sn 2.99-3.10
6 Sn 0.0000 0.3670 0.7756 x4  8 Hf 2.88-3.05, 2 Ti 2.99-3.10
7 Sn 0.1397 0.0125 0.7267 x8  8 Hf 2.90-3.24, 1 Sn 2.99

Calculated values
As for the formation energy: -19 kJ/mol of atoms.

---

9.
Here is crystalline HfTi2Sn2 at its relaxed geometry from Alexandria. Energies are from GGA-PBE.

Cell: 8.1073 8.1073 3.0933 Å, 90.00 90.00 90.00°
Last column: nearest neighbours and their distance in Å.
Space group P4/mbm (No. 127)
Asymmetric unit:
1 Hf 0.0000 0.0000 0.0000 x2  2 Hf 3.09, 4 Ti 3.25, 8 Sn 3.36
2 Ti 0.1173 0.3827 0.0000 x4  1 Ti 2.69, 6 Sn 2.80-2.90
3 Sn 0.1790 0.6790 0.5000 x4  6 Ti 2.80-2.90, 2 Sn 3.09

Calculated values
As for the formation energy: -10 kJ/mol of atoms. As for the offset from the most stable computed form: 190 meV per atom.

---

10.
Here is crystalline Hf7TiSn3 at its relaxed geometry from Alexandria. Energies are from GGA-PBE.

Cell: 10.6929 10.3463 5.1971 Å, 90.00 118.94 90.00°
Last column: nearest neighbours and their distance in Å.
Space group C2/m (No. 12)
Asymmetric unit:
1 Hf 0.0000 0.0000 0.0000 x2  2 Ti 2.60, 2 Sn 2.82
2 Hf 0.1882 0.2779 0.6884 x8  4 Sn 2.90-3.14, 3 Hf 2.90-3.09
3 Hf 0.1906 0.5000 0.1909 x4  1 Ti 2.90, 4 Sn 2.95-3.16, 2 Hf 3.09
4 Ti 0.0000 0.0000 0.5000 x2  4 Hf 2.60-2.90
5 Sn 0.0000 0.2730 0.0000 x4  9 Hf 2.82-3.14
6 Sn 0.0000 0.5000 0.5000 x2  8 Hf 2.90-3.16

Calculated values
As for the formation energy: 12 kJ/mol of atoms.

---

11.
Here is crystalline HfTi4Sn3 at its relaxed geometry from Alexandria. Energies are from GGA-PBE.

Cell: 3.0610 7.6685 13.9401 Å, 90.00 90.00 90.00°
Last column: nearest neighbours and their distance in Å.
Space group Immm (No. 71)
Asymmetric unit:
1 Hf 0.0000 0.0000 0.0000 x2  4 Ti 3.04, 4 Sn 3.06, 2 Hf 3.06
2 Ti 0.0000 0.3057 0.1390 x8  5 Sn 2.81-2.89, 3 Ti 2.98-3.06, 1 Hf 3.04
3 Sn 0.0000 0.0000 0.5000 x2  8 Ti 2.88, 2 Sn 3.06
4 Sn 0.0000 0.5000 0.3103 x4  6 Ti 2.81-2.89, 2 Hf 3.06, 2 Sn 3.06

Calculated values
As for the formation energy: -4 kJ/mol of atoms.